[1]
Cr2NiIr | PBE | relaxed

Cell: 3.5537 3.5537 16.8179 Å, 90.00 90.00 90.00°
Space group I-42d (No. 122)
Unique sites:
Cr 0.2077 0.2500 0.1250 x8
Ni 0.0000 0.0000 0.0000 x4
Ir 0.0000 0.0000 0.5000 x4

formation energy from the elements: 181 kJ/mol of formula units

=====

[2]
Tm2InF7 | PBE | relaxed

Cell: 6.9592 11.2734 4.3055 Å, 90.00 90.00 90.00°
Space group Cmmm (No. 65)
Unique sites:
Tm 0.0000 0.1921 0.0000 x4
In 0.0000 0.5000 0.5000 x2
F 0.0000 0.0000 0.0000 x2
F 0.0000 0.2009 0.5000 x4
F 0.1887 0.3538 0.0000 x8

formation energy (no corrections): -355 kJ per mole of atoms

=====

[3]
AlGa2Pd | PBE | relaxed

Cell: 4.2715 4.2715 13.1643 Å, 90.00 90.00 120.00°
Space group R3m (No. 160, hexagonal axes)
Unique sites:
Al 0.0000 0.0000 0.0000 x3
Ga 0.0000 0.0000 0.5813 x3
Ga 0.0000 0.0000 0.7819 x3
Pd 0.0000 0.0000 0.1929 x3

formation energy from the elements: -124 kJ/mol of formula units

=====

[4]
Ca3MnNb | PBE | relaxed

Cell: 5.5656 5.5656 5.5656 Å, 90.00 90.00 90.00°
Space group Pm-3m (No. 221)
Unique sites:
Ca 0.0000 0.0000 0.5000 x3
Mn 0.5000 0.5000 0.5000 x1
Nb 0.0000 0.0000 0.0000 x1

polymorph energy (0 for the lowest one): 0 meV per atom
formation energy from the elements: 582 kJ/mol of formula units

=====

[5]
MoOsRh | PBE | relaxed

Cell: 2.7639 14.4627 4.4010 Å, 90.00 90.00 90.00°
Space group Cmcm (No. 63)
Unique sites:
Mo 0.0000 0.1110 0.2500 x4
Os 0.0000 0.2221 0.7500 x4
Rh 0.0000 0.4426 0.2500 x4

polymorph energy (0 for the lowest one): 0 meV per atom
formation energy from the elements: -38 kJ/mol of formula units

=====

[6]
PrGdPt | PBE | relaxed

Cell: 7.0532 7.0532 7.0532 Å, 90.00 90.00 90.00°
Space group F-43m (No. 216)
Unique sites:
Pr 0.0000 0.0000 0.0000 x4
Gd 0.0000 0.0000 0.5000 x4
Pt 0.2500 0.2500 0.7500 x4

polymorph energy (0 for the lowest one): 0 meV per atom
formation energy from the elements: -216 kJ/mol of formula units

=====

no.,calculated volume (Å³ per cell)
1,212
2,338
3,208
4,172
5,176
6,351